Crystalline SrSi2Ir at its relaxed geometry. Source: Alexandria, functional PBE-GGA.

a b c (Å): 6.210 6.210 6.210
angles (deg): 38.76 38.76 38.76
Element x y z (fractional)
Sr 0.000 0.000 0.000
Si 0.544 0.544 0.544
Si 0.800 0.800 0.800
Ir 0.184 0.184 0.184

Values from the calculation:
Density in g/cm3: 6.612
Electronic total energy in eV for the cell shown: -23.78
Space-group type: No. 160



Crystalline Ac4InSnO at its relaxed geometry. Source: Alexandria, functional PBE-GGA.

a b c (Å): 9.897 9.897 7.167
angles (deg): 90.00 90.00 137.45
Element x y z (fractional)
Ac 0.000 0.500 0.000
Ac 0.000 0.500 0.500
Ac 0.065 0.935 0.750
Ac 0.423 0.577 0.750
Ac 0.500 0.000 0.000
Ac 0.500 0.000 0.500
Ac 0.577 0.423 0.250
Ac 0.935 0.065 0.250
In 0.116 0.884 0.250
In 0.884 0.116 0.750
Sn 0.387 0.613 0.250
Sn 0.613 0.387 0.750
O 0.286 0.714 0.750
O 0.714 0.286 0.250

Values from the calculation:
Density in g/cm3: 8.099
Electronic total energy in eV for the cell shown: -71.57
Space-group type: No. 63



Crystalline YReAu at its relaxed geometry. Source: Alexandria, functional PBE-GGA.

a b c (Å): 4.640 4.640 4.640
angles (deg): 60.00 60.00 60.00
Element x y z (fractional)
Y 0.000 0.000 0.000
Re 0.500 0.500 0.500
Au 0.250 0.250 0.250

Values from the calculation:
Density in g/cm3: 11.100
Electronic total energy in eV for the cell shown: -20.28
ΔE to the lowest computed polymorph in meV/atom: 454
Space-group type: No. 216
Formation energy in meV per atom: 635



Crystalline ThCuBi2 at its relaxed geometry. Source: Alexandria, functional PBE-GGA.

a b c (Å): 9.367 9.367 9.367
angles (deg): 27.71 27.71 27.71
Element x y z (fractional)
Th 0.000 0.000 0.000
Cu 0.500 0.500 0.500
Bi 0.406 0.406 0.406
Bi 0.594 0.594 0.594

Values from the calculation:
Density in g/cm3: 7.554
Electronic total energy in eV for the cell shown: -18.20
Space-group type: No. 166
Formation energy in meV per atom: 270



Crystalline ScBi2F at its relaxed geometry. Source: Alexandria, functional PBE-GGA.

a b c (Å): 5.088 5.088 5.088
angles (deg): 60.00 60.00 60.00
Element x y z (fractional)
Sc 0.000 0.000 0.000
Bi 0.250 0.250 0.250
Bi 0.750 0.750 0.750
F 0.500 0.500 0.500

Values from the calculation:
Density in g/cm3: 8.594
Electronic total energy in eV for the cell shown: -18.63
ΔE to the lowest computed polymorph in meV/atom: 40
Space-group type: No. 225



Crystalline PrZrIrRh at its relaxed geometry. Source: Alexandria, functional PBE-GGA.

a b c (Å): 4.853 4.853 4.853
angles (deg): 60.00 60.00 60.00
Element x y z (fractional)
Pr 0.000 0.000 0.000
Zr 0.500 0.500 0.500
Ir 0.250 0.250 0.250
Rh 0.750 0.750 0.750

Values from the calculation:
Density in g/cm3: 10.831
Electronic total energy in eV for the cell shown: -31.81
Space-group type: No. 216
Formation energy in meV per atom: -567



Crystalline RuPtSe2 at its relaxed geometry. Source: Alexandria, functional PBE-GGA.

a b c (Å): 4.529 4.529 4.529
angles (deg): 60.00 60.00 60.00
Element x y z (fractional)
Ru 0.000 0.000 0.000
Pt 0.500 0.500 0.500
Se 0.250 0.250 0.250
Se 0.750 0.750 0.750

Values from the calculation:
Density in g/cm3: 11.481
Electronic total energy in eV for the cell shown: -21.00
ΔE to the lowest computed polymorph in meV/atom: 400
Space-group type: No. 225



Crystalline NaLa2Au2 at its relaxed geometry. Source: Alexandria, functional PBE-GGA.

a b c (Å): 8.855 8.855 3.653
angles (deg): 90.00 90.00 90.00
Element x y z (fractional)
Na 0.000 0.000 0.000
Na 0.500 0.500 0.000
La 0.149 0.351 0.000
La 0.351 0.851 0.000
La 0.649 0.149 0.000
La 0.851 0.649 0.000
Au 0.144 0.644 0.500
Au 0.356 0.144 0.500
Au 0.644 0.856 0.500
Au 0.856 0.356 0.500

Values from the calculation:
Density in g/cm3: 8.056
Electronic total energy in eV for the cell shown: -40.26
ΔE to the lowest computed polymorph in meV/atom: 147
Space-group type: No. 127
Formation energy in meV per atom: -480



Crystalline BaTaS3 at its relaxed geometry. Source: Alexandria, functional PBE-GGA.

a b c (Å): 7.365 7.365 7.365
angles (deg): 101.55 98.86 130.23
Element x y z (fractional)
Ba 0.093 0.250 0.343
Ba 0.907 0.750 0.657
Ta 0.377 0.811 0.065
Ta 0.746 0.311 0.935
S 0.042 0.429 0.757
S 0.042 0.785 0.113
S 0.444 0.247 0.697
S 0.550 0.747 0.303
S 0.673 0.285 0.243
S 0.673 0.929 0.887

Values from the calculation:
Density in g/cm3: 4.977
Electronic total energy in eV for the cell shown: -65.93
Space-group type: No. 46



Crystalline KLiSc at its relaxed geometry. Source: Alexandria, functional PBE-GGA.

a b c (Å): 8.769 8.769 8.769
angles (deg): 157.61 157.61 31.88
Element x y z (fractional)
K 0.000 0.000 0.000
Li 0.319 0.319 0.000
Sc 0.697 0.697 0.000

Values from the calculation:
Density in g/cm3: 1.545
Electronic total energy in eV for the cell shown: -8.00
ΔE to the lowest computed polymorph in meV/atom: 25
Space-group type: No. 107
Formation energy in meV per atom: 447



Crystalline Zr2V3Mo at its relaxed geometry. Source: Alexandria, functional PBE-GGA.

a b c (Å): 5.166 5.166 5.169
angles (deg): 117.77 117.77 62.35
Element x y z (fractional)
Zr 0.125 0.125 0.375
Zr 0.875 0.875 0.625
V 0.000 0.500 0.000
V 0.500 0.000 0.000
V 0.500 0.500 0.500
Mo 0.500 0.500 0.000

Values from the calculation:
Density in g/cm3: 6.987
Electronic total energy in eV for the cell shown: -55.65
Space-group type: No. 12
Formation energy in meV per atom: -61



Crystalline Sc2MnTeRh at its relaxed geometry. Source: Alexandria, functional PBE-GGA.

a b c (Å): 5.267 5.267 4.839
angles (deg): 90.00 90.00 90.00
Element x y z (fractional)
Sc 0.000 0.500 0.000
Sc 0.500 0.000 0.000
Mn 0.000 0.000 0.500
Te 0.500 0.500 0.000
Rh 0.500 0.500 0.500

Values from the calculation:
Density in g/cm3: 4.643
Electronic total energy in eV for the cell shown: -30.03
Space-group type: No. 123



Crystalline Nb2VZn at its relaxed geometry. Source: Alexandria, functional PBE-GGA.

a b c (Å): 5.722 5.722 5.722
angles (deg): 102.84 102.84 123.76
Element x y z (fractional)
Nb 0.120 0.625 0.995
Nb 0.375 0.370 0.495
Nb 0.630 0.125 0.005
Nb 0.875 0.880 0.505
V 0.000 0.000 0.000
V 0.750 0.250 0.500
Zn 0.250 0.750 0.500
Zn 0.500 0.500 0.000

Values from the calculation:
Density in g/cm3: 7.304
Electronic total energy in eV for the cell shown: -57.01
Space-group type: No. 122
Formation energy in meV per atom: 507



Crystalline Li5PuO5 at its relaxed geometry. Source: Alexandria, functional PBE-GGA.

a b c (Å): 5.468 5.468 6.058
angles (deg): 108.97 108.97 46.50
Element x y z (fractional)
Li 0.000 0.000 0.000
Li 0.288 0.288 0.161
Li 0.313 0.313 0.637
Li 0.687 0.687 0.363
Li 0.712 0.712 0.839
Pu 0.000 0.000 0.500
O 0.148 0.148 0.319
O 0.168 0.168 0.823
O 0.500 0.500 0.500
O 0.832 0.832 0.177
O 0.852 0.852 0.681

Values from the calculation:
Density in g/cm3: 4.847
Electronic total energy in eV for the cell shown: -73.25
Space-group type: No. 12



Crystalline PrHg4 at its relaxed geometry. Source: Alexandria, functional PBE-GGA.

a b c (Å): 8.822 8.822 8.822
angles (deg): 147.43 135.20 56.48
Element x y z (fractional)
Pr 0.361 0.111 0.250
Pr 0.639 0.889 0.750
Hg 0.000 0.500 0.500
Hg 0.150 0.900 0.250
Hg 0.191 0.697 0.494
Hg 0.298 0.303 0.994
Hg 0.500 0.500 0.000
Hg 0.702 0.697 0.006
Hg 0.809 0.303 0.506
Hg 0.850 0.100 0.750

Values from the calculation:
Density in g/cm3: 12.117
Electronic total energy in eV for the cell shown: -14.96
ΔE to the lowest computed polymorph in meV/atom: 0
Space-group type: No. 74
Formation energy in meV per atom: -299



Crystalline PuAl4Ag at its relaxed geometry. Source: Alexandria, functional PBE-GGA.

a b c (Å): 5.474 5.474 5.474
angles (deg): 60.00 60.00 60.00
Element x y z (fractional)
Pu 0.000 0.000 0.000
Al 0.122 0.626 0.626
Al 0.626 0.122 0.626
Al 0.626 0.626 0.122
Al 0.626 0.626 0.626
Ag 0.250 0.250 0.250

Values from the calculation:
Density in g/cm3: 6.585
Electronic total energy in eV for the cell shown: -32.43
ΔE to the lowest computed polymorph in meV/atom: 36
Space-group type: No. 216
Formation energy in meV per atom: -45



Crystalline Sr2LiPt at its relaxed geometry. Source: Alexandria, functional PBE-GGA.

a b c (Å): 5.257 5.257 5.257
angles (deg): 60.00 60.00 60.00
Element x y z (fractional)
Sr 0.000 0.000 0.000
Sr 0.250 0.250 0.250
Li 0.500 0.500 0.500
Pt 0.750 0.750 0.750

Values from the calculation:
Density in g/cm3: 6.098
Electronic total energy in eV for the cell shown: -11.89
ΔE to the lowest computed polymorph in meV/atom: 370
Space-group type: No. 216
Formation energy in meV per atom: -143



Crystalline LiZrIn at its relaxed geometry. Source: Alexandria, functional PBE-GGA.

a b c (Å): 3.115 3.115 7.825
angles (deg): 90.00 90.00 120.00
Element x y z (fractional)
Li 0.000 0.000 0.000
Zr 0.667 0.333 0.350
In 0.333 0.667 0.690

Values from the calculation:
Density in g/cm3: 5.381
Electronic total energy in eV for the cell shown: -13.20
ΔE to the lowest computed polymorph in meV/atom: 224
Space-group type: No. 156
Formation energy in meV per atom: 1



Crystalline TbScCuSi at its relaxed geometry. Source: Alexandria, functional PBE-GGA.

a b c (Å): 4.794 4.794 4.794
angles (deg): 60.00 60.00 60.00
Element x y z (fractional)
Tb 0.000 0.000 0.000
Sc 0.500 0.500 0.500
Cu 0.250 0.250 0.250
Si 0.750 0.750 0.750

Values from the calculation:
Density in g/cm3: 6.298
Electronic total energy in eV for the cell shown: -22.22
Space-group type: No. 216



Crystalline Al3Se2 at its relaxed geometry. Source: Alexandria, functional PBE-GGA.

a b c (Å): 8.599 8.599 8.599
angles (deg): 25.15 25.15 25.15
Element x y z (fractional)
Al 0.000 0.000 0.000
Al 0.200 0.200 0.200
Al 0.800 0.800 0.800
Se 0.398 0.398 0.398
Se 0.602 0.602 0.602

Values from the calculation:
Density in g/cm3: 3.925
Electronic total energy in eV for the cell shown: -19.55
ΔE to the lowest computed polymorph in meV/atom: 22
Space-group type: No. 166



Crystalline CaNi3Pt at its relaxed geometry. Source: Alexandria, functional PBE-GGA.

a b c (Å): 4.662 4.662 4.662
angles (deg): 90.00 90.00 90.00
Element x y z (fractional)
Ca 0.000 0.000 0.000
Ni 0.000 0.500 0.500
Ni 0.500 0.000 0.500
Ni 0.500 0.500 0.000
Pt 0.500 0.500 0.500

Values from the calculation:
Density in g/cm3: 6.739
Electronic total energy in eV for the cell shown: -23.15
ΔE to the lowest computed polymorph in meV/atom: 0
Space-group type: No. 221
Formation energy in meV per atom: 448



Crystalline LaZnGa2Te at its relaxed geometry. Source: Alexandria, functional PBE-GGA.

a b c (Å): 5.868 5.868 5.716
angles (deg): 90.00 90.00 90.00
Element x y z (fractional)
La 0.000 0.000 0.000
Zn 0.000 0.000 0.500
Ga 0.000 0.500 0.000
Ga 0.500 0.000 0.000
Te 0.500 0.500 0.500

Values from the calculation:
Density in g/cm3: 3.977
Electronic total energy in eV for the cell shown: -12.02
Space-group type: No. 123



Crystalline ScCu2Pb2 at its relaxed geometry. Source: Alexandria, functional PBE-GGA.

a b c (Å): 7.331 7.331 3.858
angles (deg): 90.00 90.00 90.00
Element x y z (fractional)
Sc 0.000 0.000 0.000
Sc 0.500 0.500 0.000
Cu 0.119 0.381 0.000
Cu 0.381 0.881 0.000
Cu 0.619 0.119 0.000
Cu 0.881 0.619 0.000
Pb 0.182 0.682 0.500
Pb 0.318 0.182 0.500
Pb 0.682 0.818 0.500
Pb 0.818 0.318 0.500

Values from the calculation:
Density in g/cm3: 9.394
Electronic total energy in eV for the cell shown: -43.80
ΔE to the lowest computed polymorph in meV/atom: 0
Space-group type: No. 127
Formation energy in meV per atom: 8



Crystalline La2Tm2Se2S3 at its relaxed geometry. Source: Alexandria, functional PBE-GGA.

a b c (Å): 10.035 10.035 10.035
angles (deg): 150.92 150.92 41.60
Element x y z (fractional)
La 0.180 0.180 0.000
La 0.820 0.820 0.000
Tm 0.000 0.500 0.500
Tm 0.500 0.000 0.500
Se 0.407 0.407 0.000
Se 0.593 0.593 0.000
S 0.000 0.000 0.000
S 0.250 0.750 0.500
S 0.750 0.250 0.500

Values from the calculation:
Density in g/cm3: 6.063
Electronic total energy in eV for the cell shown: -53.57
Space-group type: No. 139



Crystalline DyY4Er2Tm2 at its relaxed geometry. Source: Alexandria, functional PBE-GGA.

a b c (Å): 9.446 9.446 9.467
angles (deg): 115.32 115.32 21.78
Element x y z (fractional)
Dy 0.000 0.000 0.000
Y 0.186 0.186 0.333
Y 0.482 0.482 0.665
Y 0.518 0.518 0.335
Y 0.814 0.814 0.667
Er 0.149 0.149 0.668
Er 0.851 0.851 0.332
Tm 0.333 0.333 0.001
Tm 0.667 0.667 0.999

Values from the calculation:
Density in g/cm3: 7.008
Electronic total energy in eV for the cell shown: -48.49
Space-group type: No. 12
Formation energy in meV per atom: 4



Crystalline Y3Ho2Te8 at its relaxed geometry. Source: Alexandria, functional PBE-GGA.

a b c (Å): 8.788 8.788 7.491
angles (deg): 106.06 106.06 59.23
Element x y z (fractional)
Y 0.000 0.000 0.000
Y 0.257 0.743 0.500
Y 0.743 0.257 0.500
Ho 0.250 0.250 0.831
Ho 0.750 0.750 0.169
Te 0.122 0.122 0.417
Te 0.126 0.629 0.087
Te 0.371 0.874 0.913
Te 0.383 0.383 0.605
Te 0.617 0.617 0.395
Te 0.629 0.126 0.087
Te 0.874 0.371 0.913
Te 0.878 0.878 0.583

Values from the calculation:
Density in g/cm3: 5.699
Electronic total energy in eV for the cell shown: -70.05
Space-group type: No. 12